Record 1
Entry from Alexandria via LeMat-Bulk: a relaxed structure of TaAuBr2 (PBE).

Energy relative to the lowest polymorph listed for this composition   0 meV per atom
SG   Pm
M_tot   0.0000 μB per atom
E   -4.86 eV/atom
N(E_F)   0.313 states/eV/atom
ΔE_f (raw)   -0.246 eV per atom
ρ   7.7 g/cm3

The structure in POSCAR format:
```
TaAuBr2
1.0
4.613 0.000 0.000
0.000 3.222 0.000
-2.298 0.000 7.773
Ta Au Br
1 1 2
Direct
0.000 0.000 0.000
0.475 0.500 0.951
0.136 0.500 0.272
0.843 0.000 0.684
```


Record 2
Entry from Alexandria via LeMat-Bulk: a relaxed structure of Ta2AuBr2 (PBE).

SG   I4/mmm
M_tot   0.0000 μB per atom
E   -5.56 eV/atom
N(E_F)   0.327 states/eV/atom
ΔE_f (raw)   0.508 eV per atom
ρ   9.9 g/cm3

The structure in POSCAR format:
```
Ta2AuBr2
1.0
-1.938 1.938 8.039
1.938 -1.938 8.039
1.938 1.938 -8.039
Ta Au Br
2 1 2
Direct
0.250 0.750 0.500
0.750 0.250 0.500
0.000 0.000 0.000
0.370 0.370 0.000
0.630 0.630 0.000
```


Record 3
Entry from Alexandria via LeMat-Bulk: a relaxed structure of Ta2AuBr (PBE).

Energy relative to the lowest polymorph listed for this composition   705 meV per atom
SG   P4/mmm
M_tot   0.0000 μB per atom
E   -6.37 eV/atom
N(E_F)   0.495 states/eV/atom
ΔE_f (raw)   0.790 eV per atom
ρ   13.9 g/cm3

The structure in POSCAR format:
```
Ta2AuBr
1.0
4.118 0.000 0.000
0.000 4.118 0.000
0.000 0.000 4.514
Ta Au Br
2 1 1
Direct
0.000 0.500 0.000
0.500 0.000 0.000
0.000 0.000 0.500
0.500 0.500 0.500
```


- ΔE_f (raw) of number 1 (TaAuBr2)?
  -0.246 eV per atom